Entry 1:
4
Lattice="-4.651 2.139 0.540 -4.075 -2.945 1.101 -2.186 0.266 4.652" Properties=species:S:1:pos:R:3 comment="TbErSnPd GGA-PBE optimized geometry" formation_energy_ev_per_atom=-0.74 pbc="T T T"
Er -2.728 -0.135 1.574
Sn -5.455 -0.270 3.147
Pd 0.000 0.000 0.000
Tb -8.183 -0.405 4.721

Entry 2:
4
Lattice="-4.568 0.797 -0.236 -0.684 -4.352 -1.466 -0.684 -2.037 6.366" Properties=species:S:1:pos:R:3 comment="Sr2TlAu GGA-PBE optimized geometry" formation_energy_ev_per_atom=-0.42 relative_energy_mev_per_atom=140 pbc="T T T"
Sr -2.856 -2.465 1.298
Sr -0.616 -1.835 5.734
Au -3.205 -3.504 4.547
Tl -0.283 -0.843 2.634

Entry 3:
8
Lattice="8.177 0.221 0.667 0.155 7.371 -1.626 -3.739 -4.677 5.074" Properties=species:S:1:pos:R:3 comment="VPb2Se5 GGA-PBE optimized geometry" formation_energy_uncorrected_ev_per_atom=-0.409 pbc="T T T"
Se -2.247 -2.650 4.528
Se 4.477 2.272 1.305
Se 6.838 2.425 0.541
Se 2.593 1.664 4.111
Se 1.801 6.016 -1.178
V 4.535 2.964 3.566
Pb 4.670 -0.495 3.259
Pb 0.107 2.774 2.394

Entry 4:
4
Lattice="-2.044 -4.651 2.228 3.002 -4.664 -0.076 2.146 -1.995 4.710" Properties=species:S:1:pos:R:3 comment="NaPr2Hg GGA-PBE optimized geometry" formation_energy_ev_per_atom=-0.09 relative_energy_mev_per_atom=20 pbc="T T T"
Pr 2.328 -8.482 5.147
Pr 0.776 -2.827 1.716
Hg 0.000 0.000 0.000
Na 1.552 -5.655 3.431

Entry 5:
4
Lattice="5.214 0.000 0.000 2.607 4.516 0.000 2.607 1.505 4.257" Properties=species:S:1:pos:R:3 comment="Y3Co GGA-PBE optimized geometry" formation_energy_ev_per_atom=0.33 pbc="T T T"
Y 7.821 4.516 3.193
Y 2.607 1.505 1.064
Y 5.214 3.010 2.129
Co 0.000 0.000 0.000

Entry 6:
8
Lattice="-2.682 0.143 5.505 -5.498 -0.414 -2.668 -3.899 -3.900 1.609" Properties=species:S:1:pos:R:3 comment="IrClO2 GGA-PBE optimized geometry" formation_energy_uncorrected_ev_per_atom=0.070 relative_energy_mev_per_atom=218 pbc="T T T"
Ir -5.336 -1.946 4.266
Ir 0.000 0.000 0.000
O -7.003 -1.095 4.055
O -3.763 -0.915 4.382
O -5.455 -2.813 5.934
O -5.120 -2.961 2.694
Cl -6.744 -2.224 0.180
Cl -4.090 -0.135 1.419

Entry 7:
10
Lattice="-5.411 -3.385 -1.653 -0.320 -6.481 1.170 -4.008 -2.308 4.699" Properties=species:S:1:pos:R:3 comment="Cs2NaBiF6 GGA-PBE optimized geometry" formation_energy_uncorrected_ev_per_atom=-2.689 pbc="T T T"
F -5.308 -8.013 0.788
F -5.146 -4.711 0.192
F -7.188 -5.887 2.586
F -4.594 -7.464 4.024
F -2.552 -6.288 1.630
F -4.431 -4.162 3.428
Cs -7.304 -9.131 3.162
Cs -2.435 -3.044 1.054
Na -4.870 -6.087 2.108
Bi 0.000 0.000 0.000

Entry 8:
4
Lattice="3.531 0.000 0.000 1.766 3.058 0.000 1.766 1.019 8.844" Properties=species:S:1:pos:R:3 comment="HgPb2O GGA-PBE optimized geometry" formation_energy_uncorrected_ev_per_atom=-0.377 relative_energy_mev_per_atom=0 pbc="T T T"
Pb 1.766 1.019 1.611
Pb 5.297 3.058 7.233
Hg 3.531 2.039 4.422
O 0.000 0.000 0.000

D(E_F)? In order: 2.249 2.340 3.486 5.047 5.306 7.924 0.000 1.367 states/eV/cell.
E_tot? In order: -21.36 -10.70 -37.23 -11.53 -25.19 -40.69 -45.03 -14.19 eV for the cell shown.